(1)
SrZnP2O7 (meta-GGA SCAN, PBEsol geometry); uncorrected formation energy = -2.674 eV/atom; energy = -518.470 eV/cell
1.0
5.321 0.000 0.000
0.000 8.183 0.000
-5.246 0.000 12.758
Sr Zn P O
4 4 8 28
Cartesian
-1.109 1.325 2.812
-3.732 2.767 9.191
3.807 5.416 3.568
1.184 6.858 9.947
-1.713 5.327 7.719
0.910 6.948 1.340
-0.835 1.235 11.419
1.788 2.856 5.040
1.696 1.625 0.249
-0.927 2.466 6.628
-1.263 0.274 8.491
1.360 3.818 2.111
-1.285 4.365 10.647
1.338 7.909 4.268
1.002 5.717 6.130
-1.621 6.558 12.509
-4.168 1.505 11.610
-1.545 2.587 5.231
-2.681 0.472 8.995
-0.058 3.620 2.616
0.926 0.795 1.296
-1.697 3.296 7.675
-2.336 5.066 9.770
0.287 7.209 3.390
-1.174 0.917 7.014
1.449 3.174 0.635
-0.505 5.452 6.050
-3.128 6.823 12.429
1.774 5.278 1.953
-0.849 6.996 8.332
0.924 1.187 4.426
-1.699 2.905 10.805
3.203 1.360 0.329
0.580 2.732 6.708
-1.374 5.009 12.123
1.249 7.266 5.744
-0.211 0.974 9.368
2.412 3.117 2.989
1.772 4.887 5.084
-0.851 7.388 11.463
0.133 4.563 10.143
2.756 7.711 3.764
1.620 5.596 7.528
4.243 6.678 1.148



(2)
SrZrP2O8 (meta-GGA SCAN, PBEsol geometry); uncorrected formation energy = -3.124 eV/atom; energy = -322.227 eV/cell
1.0
5.146 0.000 0.000
-0.046 7.708 0.000
-0.864 -0.318 7.866
Sr Zr P O
2 2 4 16
Cartesian
0.813 0.107 2.153
3.423 7.283 5.713
0.621 3.999 1.741
3.616 3.392 6.125
0.693 1.631 6.879
0.961 5.270 4.912
3.276 2.121 2.954
3.544 5.760 0.987
-0.363 5.058 5.712
-0.210 1.724 5.602
0.127 2.922 7.600
0.411 0.345 7.608
0.946 4.318 3.712
1.069 6.747 4.545
2.046 5.551 1.329
2.096 2.509 2.028
2.141 4.881 5.838
2.190 1.839 6.537
3.168 0.643 3.321
3.291 3.073 4.154
3.826 7.045 0.257
4.110 4.469 0.266
4.447 5.666 2.264
4.600 2.333 2.154



(3)
Ta3PO (meta-GGA SCAN, PBEsol geometry); uncorrected formation energy = 1.178 eV/atom; energy = -210.492 eV/cell
1.0
4.531 0.000 0.000
0.000 4.531 0.000
0.000 0.000 4.531
Ta P O
3 1 1
Cartesian
0.000 0.000 2.266
0.000 2.266 0.000
2.266 0.000 0.000
0.000 0.000 0.000
2.266 2.266 2.266



(4)
TaPO5 (meta-GGA SCAN, PBEsol geometry); uncorrected formation energy = -2.807 eV/atom; energy = -255.578 eV/cell
1.0
6.471 0.000 0.000
0.000 6.471 0.000
0.000 0.000 3.975
Ta P O
2 2 10
Cartesian
1.618 1.618 0.941
4.853 4.853 3.034
1.618 4.853 1.988
4.853 1.618 1.988
0.356 4.853 2.861
1.618 1.618 3.081
1.618 3.592 1.114
1.618 6.114 1.114
2.879 4.853 2.861
3.592 1.618 1.114
4.853 0.356 2.861
4.853 2.879 2.861
4.853 4.853 0.894
6.114 1.618 1.114



(5)
TaPO5 (meta-GGA SCAN, PBEsol geometry); uncorrected formation energy = -2.824 eV/atom; energy = -511.634 eV/cell
1.0
6.735 0.000 0.000
0.000 5.374 0.000
-0.004 0.000 11.350
Ta P O
4 4 20
Cartesian
1.137 1.344 0.714
2.230 1.344 6.390
4.502 4.031 4.960
5.595 4.031 10.637
0.187 4.031 7.421
3.179 4.031 1.744
3.552 1.344 9.606
6.544 1.344 3.929
0.000 0.000 0.000
0.000 2.687 0.000
0.211 1.344 2.444
0.995 2.767 7.132
0.995 5.294 7.132
1.098 1.344 4.770
2.258 1.344 10.438
2.374 2.767 1.450
2.374 5.294 1.450
3.161 1.344 8.118
3.366 0.000 5.675
3.366 2.687 5.675
3.571 4.031 3.232
4.357 0.080 9.900
4.357 2.607 9.900
4.473 4.031 0.912
5.634 4.031 6.581
5.737 0.080 4.218
5.737 2.607 4.218
6.521 4.031 8.906



(6)
TaP2O7 (meta-GGA SCAN, PBEsol geometry); uncorrected formation energy = -2.502 eV/atom; energy = -624.076 eV/cell
1.0
8.354 0.000 0.000
0.000 8.354 0.000
0.000 0.000 8.354
Ta P O
4 8 28
Cartesian
0.000 0.000 0.000
0.000 4.177 4.177
4.177 0.000 4.177
4.177 4.177 0.000
0.913 5.091 7.441
0.913 7.441 3.264
3.264 0.913 7.441
3.264 3.264 3.264
5.091 5.091 5.091
5.091 7.441 0.913
7.441 0.913 5.091
7.441 3.264 0.913
0.000 0.000 4.177
0.000 4.177 0.000
0.490 6.007 3.505
0.490 6.525 7.682
0.672 4.668 6.007
0.672 7.864 1.830
1.830 0.672 7.864
1.830 3.505 3.687
2.348 4.850 7.864
2.348 7.682 3.687
3.505 0.490 6.007
3.505 3.687 1.830
3.687 1.830 3.505
3.687 2.348 7.682
4.177 0.000 0.000
4.177 4.177 4.177
4.668 6.007 0.672
4.668 6.525 4.850
4.850 4.668 6.525
4.850 7.864 2.348
6.007 0.672 4.668
6.007 3.505 0.490
6.525 4.850 4.668
6.525 7.682 0.490
7.682 0.490 6.525
7.682 3.687 2.348
7.864 1.830 0.672
7.864 2.348 4.850